LiPd2Se | GGA-PBEsol | relaxed

Properties
The uncorrected formation energy is -7.881 kcal/mol of atoms. The density of states at the Fermi level is 6.653 states/eV/cell. Its size of the total moment is 0.000 μB/atom.

abc: 3.8500 3.8500 16.9766
angles: 90.00 90.00 90.00
Space group I-42d (No. 122)
Symmetry-distinct sites (fractional):
Li 0.0000 0.0000 0.0000 x4
Pd 0.2418 0.2500 0.6250 x8
Se 0.0000 0.0000 0.5000 x4

LiTaPdSe2 | GGA-PBEsol | relaxed

Properties
The uncorrected formation energy is 9.315 kcal/mol of atoms. The density of states at the Fermi level is 4.615 states/eV/cell. Its size of the total moment is 0.158 μB/atom.

abc: 4.5262 4.5262 3.9930
angles: 90.00 90.00 90.00
Space group P4/mmm (No. 123)
Symmetry-distinct sites (fractional):
Li 0.0000 0.0000 0.0000 x1
Ta 0.5000 0.5000 0.5000 x1
Pd 0.0000 0.0000 0.5000 x1
Se 0.0000 0.5000 0.0000 x2